VASP calculation (PBE) on a relaxed structure of Pm2SmGe3.

Formation energy   -0.6631 eV per atom
Total magnetization   0.00 μB per atom
Final energy   -64.102 eV per cell

Unit cell a=4.266 b=6.013 c=12.733 alpha=90.00 beta=90.00 gamma=90.00
Element x y z (fractional)
Pm (0.000, 0.000, 0.167)
Pm (0.000, 0.000, 0.833)
Pm (0.500, 0.500, 0.333)
Pm (0.500, 0.500, 0.667)
Sm (0.000, 0.000, 0.500)
Sm (0.500, 0.500, 0.000)
Ge (0.000, 0.500, 0.166)
Ge (0.000, 0.500, 0.500)
Ge (0.000, 0.500, 0.834)
Ge (0.500, 0.000, 0.000)
Ge (0.500, 0.000, 0.334)
Ge (0.500, 0.000, 0.666)

VASP calculation (PBE) on a relaxed structure of PmSmGe2.

Formation energy   -0.6371 eV per atom
Total magnetization   0.00 μB per atom
Final energy   -21.253 eV per cell

Unit cell a=3.422 b=3.422 c=8.235 alpha=90.00 beta=90.00 gamma=90.00
Element x y z (fractional)
Pm (0.000, 0.000, 0.000)
Sm (0.000, 0.000, 0.500)
Ge (0.500, 0.500, 0.251)
Ge (0.500, 0.500, 0.749)

VASP calculation (PBE) on a relaxed structure of PmSm2Ge2.

Formation energy   -0.6961 eV per atom
Total magnetization   0.00 μB per atom
Energy above the most stable polymorph in this dataset   47.7 meV per atom
Final energy   -53.808 eV per cell

Unit cell a=4.450 b=6.560 c=9.053 alpha=90.00 beta=90.00 gamma=90.00
Element x y z (fractional)
Pm (0.000, 0.000, 0.000)
Pm (0.500, 0.500, 0.500)
Sm (0.000, 0.500, 0.199)
Sm (0.000, 0.500, 0.801)
Sm (0.500, 0.000, 0.301)
Sm (0.500, 0.000, 0.699)
Ge (0.000, 0.201, 0.500)
Ge (0.000, 0.799, 0.500)
Ge (0.500, 0.299, 0.000)
Ge (0.500, 0.701, 0.000)

VASP calculation (PBE) on a relaxed structure of PmSm3Ge3.

Formation energy   -0.5833 eV per atom
Total magnetization   0.00 μB per atom
Final energy   -73.686 eV per cell

Unit cell a=9.095 b=9.095 c=5.854 alpha=90.00 beta=90.00 gamma=120.00
Element x y z (fractional)
Pm (0.333, 0.667, 0.250)
Pm (0.667, 0.333, 0.750)
Sm (0.025, 0.698, 0.750)
Sm (0.302, 0.327, 0.750)
Sm (0.327, 0.025, 0.250)
Sm (0.673, 0.975, 0.750)
Sm (0.698, 0.673, 0.250)
Sm (0.975, 0.302, 0.250)
Ge (0.001, 0.350, 0.750)
Ge (0.349, 0.999, 0.750)
Ge (0.350, 0.349, 0.250)
Ge (0.650, 0.651, 0.750)
Ge (0.651, 0.001, 0.250)
Ge (0.999, 0.650, 0.250)

VASP calculation (PBE) on a relaxed structure of PmSm2Ge.

Formation energy   -0.2214 eV per atom
Total magnetization   0.00 μB per atom
Energy above the most stable polymorph in this dataset   225.6 meV per atom
Final energy   -59.076 eV per cell

Unit cell a=3.811 b=3.811 c=30.060 alpha=90.00 beta=90.00 gamma=120.00
Element x y z (fractional)
Pm (0.000, 0.000, 0.000)
Pm (0.333, 0.667, 0.667)
Pm (0.667, 0.333, 0.333)
Sm (0.000, 0.000, 0.232)
Sm (0.000, 0.000, 0.768)
Sm (0.333, 0.667, 0.435)
Sm (0.333, 0.667, 0.898)
Sm (0.667, 0.333, 0.102)
Sm (0.667, 0.333, 0.565)
Ge (0.000, 0.000, 0.500)
Ge (0.333, 0.667, 0.167)
Ge (0.667, 0.333, 0.833)

VASP calculation (PBE) on a relaxed structure of Pm7SmGe2.

Formation energy   -0.0007 eV per atom
Total magnetization   0.00 μB per atom
Final energy   -47.215 eV per cell

Unit cell a=8.528 b=8.528 c=5.693 alpha=90.00 beta=90.00 gamma=117.04
Element x y z (fractional)
Pm (0.000, 0.000, 0.000)
Pm (0.186, 0.449, 0.000)
Pm (0.205, 0.795, 0.500)
Pm (0.449, 0.186, 0.000)
Pm (0.551, 0.814, 0.000)
Pm (0.795, 0.205, 0.500)
Pm (0.814, 0.551, 0.000)
Sm (0.500, 0.500, 0.500)
Ge (0.200, 0.800, 0.000)
Ge (0.800, 0.200, 0.000)

VASP calculation (PBE) on a relaxed structure of PmSmGe2.

Formation energy   -0.8628 eV per atom
Total magnetization   0.00 μB per atom
Final energy   -44.311 eV per cell

Unit cell a=4.044 b=5.932 c=8.193 alpha=90.00 beta=90.00 gamma=90.00
Element x y z (fractional)
Pm (0.000, 0.132, 0.000)
Pm (0.000, 0.868, 0.500)
Sm (0.500, 0.368, 0.363)
Sm (0.500, 0.632, 0.863)
Ge (0.000, 0.390, 0.642)
Ge (0.000, 0.610, 0.142)
Ge (0.500, 0.111, 0.720)
Ge (0.500, 0.889, 0.220)

VASP calculation (PBE) on a relaxed structure of Pm2Sm3Ge4.

Formation energy   -0.8329 eV per atom
Total magnetization   0.00 μB per atom
Final energy   -99.248 eV per cell

Unit cell a=8.171 b=7.980 c=7.810 alpha=90.00 beta=112.59 gamma=90.00
Element x y z (fractional)
Pm (0.203, 0.180, 0.063)
Pm (0.203, 0.320, 0.563)
Pm (0.797, 0.680, 0.437)
Pm (0.797, 0.820, 0.937)
Sm (0.233, 0.663, 0.222)
Sm (0.233, 0.837, 0.722)
Sm (0.500, 0.000, 0.500)
Sm (0.500, 0.500, 0.000)
Sm (0.767, 0.163, 0.278)
Sm (0.767, 0.337, 0.778)
Ge (0.090, 0.532, 0.821)
Ge (0.090, 0.968, 0.321)
Ge (0.493, 0.127, 0.876)
Ge (0.493, 0.373, 0.376)
Ge (0.507, 0.627, 0.624)
Ge (0.507, 0.873, 0.124)
Ge (0.910, 0.032, 0.679)
Ge (0.910, 0.468, 0.179)

VASP calculation (PBE) on a relaxed structure of Pm12SmGe6.

Formation energy   -0.4143 eV per atom
Total magnetization   0.00 μB per atom
Final energy   -97.302 eV per cell

Unit cell a=8.674 b=8.674 c=8.674 alpha=103.62 beta=103.62 gamma=103.62
Element x y z (fractional)
Pm (0.000, 0.377, 0.623)
Pm (0.000, 0.623, 0.377)
Pm (0.059, 0.059, 0.324)
Pm (0.059, 0.324, 0.059)
Pm (0.324, 0.059, 0.059)
Pm (0.377, 0.000, 0.623)
Pm (0.377, 0.623, 0.000)
Pm (0.623, 0.000, 0.377)
Pm (0.623, 0.377, 0.000)
Pm (0.676, 0.941, 0.941)
Pm (0.941, 0.676, 0.941)
Pm (0.941, 0.941, 0.676)
Sm (0.500, 0.500, 0.500)
Ge (0.199, 0.750, 0.750)
Ge (0.250, 0.250, 0.801)
Ge (0.250, 0.801, 0.250)
Ge (0.750, 0.199, 0.750)
Ge (0.750, 0.750, 0.199)
Ge (0.801, 0.250, 0.250)

VASP calculation (PBE) on a relaxed structure of PmSm5Ge4.

Formation energy   -0.6322 eV per atom
Total magnetization   0.00 μB per atom
Final energy   -53.138 eV per cell

Unit cell a=8.194 b=8.194 c=7.002 alpha=90.12 beta=90.12 gamma=36.30
Element x y z (fractional)
Pm (0.000, 0.000, 0.000)
Sm (0.000, 0.000, 0.500)
Sm (0.335, 0.335, 0.007)
Sm (0.335, 0.335, 0.491)
Sm (0.665, 0.665, 0.509)
Sm (0.665, 0.665, 0.993)
Ge (0.179, 0.179, 0.750)
Ge (0.490, 0.490, 0.749)
Ge (0.510, 0.510, 0.251)
Ge (0.821, 0.821, 0.250)

> final energy of number 9 (Pm12SmGe6)?

-97.302 eV per cell